## i
Material: TlZn2Pt
Method: DFT, meta-GGA SCAN
State: single point on PBEsol structure

Computed properties:
Crystal system = monoclinic
D(E_F) = 0.288 states/eV per atom
Size of the total moment = 0.0000 μB per atom

Cell lengths 2.926, 3.326, 7.285 Å; angles 90.00, 91.25, 90.00 degrees
Space group P2/m (No. 10)
One atom of each set of equivalent atoms:
Tl 0.000 0.000 0.000 x1
Zn 0.489 0.500 0.308 x2
Pt 0.000 0.000 0.500 x1

=====

## ii
Material: TlZn2Pt
Method: DFT, meta-GGA SCAN
State: single point on PBEsol structure

Computed properties:
Crystal system = tetragonal
D(E_F) = 0.346 states/eV per atom
Size of the total moment = 0.0000 μB per atom

Cell lengths 4.111, 4.111, 3.865 Å; angles 90.00, 90.00, 90.00 degrees
Space group P4/mmm (No. 123)
One atom of each set of equivalent atoms:
Tl 0.000 0.000 0.000 x1
Zn 0.000 0.500 0.500 x2
Pt 0.500 0.500 0.000 x1

=====

## iii
Material: TlZn2Pt
Method: DFT, meta-GGA SCAN
State: single point on PBEsol structure

Computed properties:
Crystal system = cubic
D(E_F) = 0.319 states/eV per atom
Size of the total moment = 0.0000 μB per atom

Cell lengths 6.443, 6.443, 6.443 Å; angles 90.00, 90.00, 90.00 degrees
Space group F-43m (No. 216)
One atom of each set of equivalent atoms:
Tl 0.000 0.000 0.000 x4
Zn 0.000 0.000 0.500 x4
Zn 0.250 0.250 0.250 x4
Pt 0.250 0.250 0.750 x4

=====

## iv
Material: TlZn2Pt
Method: DFT, meta-GGA SCAN
State: single point on PBEsol structure

Computed properties:
Crystal system = tetragonal
D(E_F) = 0.242 states/eV per atom
Size of the total moment = 0.0000 μB per atom

Cell lengths 3.458, 3.458, 5.615 Å; angles 90.00, 90.00, 90.00 degrees
Space group P4mm (No. 99)
One atom of each set of equivalent atoms:
Tl 0.000 0.000 0.000 x1
Zn 0.000 0.000 0.512 x1
Zn 0.500 0.500 0.265 x1
Pt 0.500 0.500 0.711 x1

=====

What is the most stable structure shown above? It is i.